Crystalline TbAl2Hg at its relaxed geometry, computed with PBE.

Summary:
- offset from the most stable computed form (meV per atom) = 12
- total moment (μB/f.u.) = 0.00
- raw total energy (eV/atom) = -3.443
- calculated volume (Å³/cell) = 337

Cell lengths 6.520, 10.717, 4.825 Å; angles 90.00, 90.00, 90.00 degrees
Space group Cmcm (No. 63)
Inequivalent atoms, fractional coordinates:
Tb1 0.000 0.157 0.250 x4
Al1 0.220 0.426 0.250 x8
Hg1 0.000 0.332 0.750 x4